The following is a DFT calculation (GGA-PBEsol) of Li2LaSn2 after structural relaxation.

abc: 4.4152 4.4152 12.0967
angles: 90.00 90.00 90.00
With the nearest neighbours (Å) after each atom.
Space group I4/mmm (No. 139)
Inequivalent atoms, fractional coordinates:
Li 0.0000 0.5000 0.2500 (multiplicity 4)  4 Sn 2.74
La 0.0000 0.0000 0.0000 (multiplicity 2)  8 Sn 3.42, 8 Li 3.74
Sn 0.0000 0.0000 0.3846 (multiplicity 4)  4 Li 2.74, 1 Sn 2.79

Computed properties:
E	-4.158	eV/atom
total moment	0.00	μB/atom
density of states at the Fermi level	2.8	states/eV per cell

=====

The following is a DFT calculation (GGA-PBEsol) of Mn2ReTc after structural relaxation.

abc: 3.1206 4.0142 4.1098
angles: 90.00 90.00 90.00
With the nearest neighbours (Å) after each atom.
Space group Pmmm (No. 47)
Inequivalent atoms, fractional coordinates:
Mn 0.0000 0.0000 0.0000 (multiplicity 1)  4 Tc 2.54, 4 Mn 2.58
Mn 0.5000 0.0000 0.5000 (multiplicity 1)  4 Re 2.54, 4 Mn 2.58
Re 0.0000 0.5000 0.5000 (multiplicity 1)  4 Mn 2.54, 4 Tc 2.58
Tc 0.5000 0.5000 0.0000 (multiplicity 1)  4 Mn 2.54, 4 Re 2.58

Computed properties:
E	-10.878	eV/atom
total moment	0.92	μB/atom
density of states at the Fermi level	3.0	states/eV per cell